(1)
## MnGaRe (GGA-PBE)

Data for an optimized crystal structure of MnGaRe.

Properties
D(E_F)	3.81	states/eV per cell
V	15.8	A^3/atom
calculated density	10.86	g cm⁻³
total magnetic moment	0.0	μB per cell
space group	No. 129
formation enthalpy at 0 K	0.1931	eV per atom

a b c (Å): 4.129 4.129 5.573
angles (deg): 90.00 90.00 90.00
Fractional positions:
Mn 0.250 0.250 0.212
Mn 0.750 0.750 0.788
Ga 0.250 0.750 0.500
Ga 0.750 0.250 0.500
Re 0.250 0.750 0.000
Re 0.750 0.250 0.000

***

(2)
## Pa3Re4PbN12 (GGA-PBE)

Data for an optimized crystal structure of Pa3Re4PbN12.

Properties
D(E_F)	7.83	states/eV per cell
V	17.7	A^3/atom
calculated density	8.51	g cm⁻³
total magnetic moment	0.0	μB per cell
formation energy without anion corrections	-0.2809	eV/atom
space group	No. 155

a b c (Å): 7.295 7.295 7.295
angles (deg): 102.83 102.83 102.83
Fractional positions:
Pa 0.000 0.557 0.443
Pa 0.443 0.000 0.557
Pa 0.557 0.443 0.000
Re 0.055 0.500 0.945
Re 0.500 0.500 0.500
Re 0.500 0.945 0.055
Re 0.945 0.055 0.500
Pb 0.000 0.000 0.000
N 0.021 0.629 0.761
N 0.105 0.895 0.500
N 0.239 0.371 0.979
N 0.341 0.659 0.500
N 0.371 0.979 0.239
N 0.500 0.105 0.895
N 0.500 0.341 0.659
N 0.629 0.761 0.021
N 0.659 0.500 0.341
N 0.761 0.021 0.629
N 0.895 0.500 0.105
N 0.979 0.239 0.371

***

(3)
## BeBRh (GGA-PBE)

Data for an optimized crystal structure of BeBRh.

Properties
D(E_F)	1.18	states/eV per cell
V	10.0	A^3/atom
calculated density	6.80	g cm⁻³
total magnetic moment	0.0	μB per cell
space group	No. 156
formation enthalpy at 0 K	-0.1590	eV per atom

a b c (Å): 3.520 3.520 2.793
angles (deg): 90.00 90.00 120.00
Fractional positions:
Be 0.000 0.000 0.000
B 0.667 0.333 0.744
Rh 0.333 0.667 0.556

***

(4)
## Pr4Te5Se2 (GGA-PBE)

Data for an optimized crystal structure of Pr4Te5Se2.

Properties
D(E_F)	0.66	states/eV per cell
V	34.6	A^3/atom
calculated density	5.92	g cm⁻³
total magnetic moment	0.0	μB per cell
formation energy without anion corrections	-1.2967	eV/atom
space group	No. 12

a b c (Å): 11.175 11.175 8.512
angles (deg): 111.20 111.20 22.69
Fractional positions:
Pr 0.007 0.007 0.242
Pr 0.282 0.282 0.778
Pr 0.718 0.718 0.222
Pr 0.993 0.993 0.758
Te 0.164 0.164 0.416
Te 0.164 0.164 0.918
Te 0.500 0.500 0.500
Te 0.836 0.836 0.082
Te 0.836 0.836 0.584
Se 0.441 0.441 0.000
Se 0.559 0.559 0.000

***

(5)
## TaAlZn2 (GGA-PBE)

Data for an optimized crystal structure of TaAlZn2.

Properties
D(E_F)	2.39	states/eV per cell
V	16.2	A^3/atom
calculated density	8.70	g cm⁻³
total magnetic moment	0.0	μB per cell
space group	No. 12
formation enthalpy at 0 K	0.0233	eV per atom

a b c (Å): 5.139 5.139 4.762
angles (deg): 105.80 105.80 32.43
Fractional positions:
Ta 0.000 0.000 0.000
Al 0.500 0.500 0.500
Zn 0.247 0.247 0.754
Zn 0.753 0.753 0.246

***

(6)
## Pm3Ga2Ag (GGA-PBE)

Data for an optimized crystal structure of Pm3Ga2Ag.

Properties
D(E_F)	13.75	states/eV per cell
V	25.3	A^3/atom
calculated density	7.45	g cm⁻³
total magnetic moment	0.0	μB per cell
space group	No. 164
formation enthalpy at 0 K	-0.4568	eV per atom

a b c (Å): 5.222 5.222 12.876
angles (deg): 90.00 90.00 120.00
Fractional positions:
Pm 0.000 0.000 0.244
Pm 0.000 0.000 0.756
Pm 0.333 0.667 0.415
Pm 0.333 0.667 0.920
Pm 0.667 0.333 0.080
Pm 0.667 0.333 0.585
Ga 0.000 0.000 0.000
Ga 0.000 0.000 0.500
Ga 0.333 0.667 0.170
Ga 0.667 0.333 0.830
Ag 0.333 0.667 0.671
Ag 0.667 0.333 0.329

***

(7)
## PmTc4 (GGA-PBE)

Data for an optimized crystal structure of PmTc4.

Properties
D(E_F)	5.17	states/eV per cell
V	21.8	A^3/atom
calculated density	8.19	g cm⁻³
total magnetic moment	1.8	μB per cell
space group	No. 221
formation enthalpy at 0 K	2.6996	eV per atom

a b c (Å): 4.775 4.775 4.775
angles (deg): 90.00 90.00 90.00
Fractional positions:
Pm 0.000 0.000 0.000
Tc 0.000 0.000 0.500
Tc 0.000 0.500 0.000
Tc 0.500 0.000 0.000
Tc 0.500 0.500 0.500